1.
VASP calculation (GGA-PBE) on crystalline BiCSe3 at its relaxed geometry.

DOS(E_F)	0.440	states/eV per atom
electronic total energy	-3.89	eV/atom
energy above the lowest structure with this stoichiometry	0	meV/atom
ΔE_f (raw)	4.13	eV per formula unit

```
BiCSe3
1.0
4.5741 0.0000 0.0000
0.0000 4.5741 0.0000
0.0000 0.0000 4.5741
Bi C Se
1 1 3
Direct
0.0000 0.0000 0.0000
0.5000 0.5000 0.5000
0.0000 0.5000 0.5000
0.5000 0.0000 0.5000
0.5000 0.5000 0.0000
```



2.
VASP calculation (GGA-PBE) on crystalline AcIn2Hg8 at its relaxed geometry.

DOS(E_F)	0.435	states/eV per atom
electronic total energy	-1.22	eV/atom
energy above the lowest structure with this stoichiometry	0	meV/atom
energy of formation	-0.13	eV per atom

```
AcIn2Hg8
1.0
8.9297 -3.1710 0.0000
8.9297 3.1710 0.0000
-0.0991 0.0000 5.3517
Ac In Hg
1 2 8
Direct
0.0000 0.0000 0.0000
0.2625 0.2625 0.5308
0.7375 0.7375 0.4692
0.1574 0.6659 0.4948
0.1924 0.1924 0.0232
0.3341 0.8426 0.5052
0.4001 0.4001 0.9979
0.5999 0.5999 0.0021
0.6659 0.1574 0.4948
0.8076 0.8076 0.9768
0.8426 0.3341 0.5052
```



3.
VASP calculation (GGA-PBE) on crystalline YTaCr2Ir at its relaxed geometry.

DOS(E_F)	0.951	states/eV per atom
electronic total energy	-8.14	eV/atom
energy of formation	1.15	eV per atom

```
YTaCr2Ir
1.0
4.7084 0.0000 0.0000
0.0000 4.7084 0.0000
0.0000 0.0000 5.1899
Y Ta Cr Ir
1 1 2 1
Direct
0.0000 0.0000 0.0000
0.5000 0.5000 0.0000
0.0000 0.5000 0.5000
0.5000 0.0000 0.5000
0.0000 0.0000 0.5000
```